A plane-wave DFT calculation with meta-GGA SCAN was carried out for a crystal of RuRhN2 relaxed with PBEsol.

## Properties
E above lowest polymorph ... 0 kJ/mol of formula units
SG ... R-3m, No. 166
Energy relative to the elements, uncorrected ... 0.38 eV per atom

Geometry as extended XYZ:
```
4
Lattice="1.3799 0.7967 6.3817 -1.3799 0.7967 6.3817 0.0000 -1.5934 6.3817" Properties=species:S:1:pos:R:3 pbc="T T T"
Ru 0.0000 0.0000 0.0000
Rh 0.0000 0.0000 9.5725
N 0.0000 0.0000 7.6636
N 0.0000 0.0000 11.4815
```


A plane-wave DFT calculation with meta-GGA SCAN was carried out for a crystal of SrAsW2 relaxed with PBEsol.

## Properties
SG ... Cm, No. 8
E_form ... 34.6 kJ/mol of atoms

Geometry as extended XYZ:
```
4
Lattice="4.1748 -1.6314 0.0000 4.1748 1.6314 0.0000 -1.1351 0.0000 6.4120" Properties=species:S:1:pos:R:3 pbc="T T T"
Sr 0.0000 0.0000 0.0000
As 5.9073 0.0000 2.0524
W 1.1107 0.0000 4.0657
W 3.5133 0.0000 3.1611
```


A plane-wave DFT calculation with meta-GGA SCAN was carried out for a crystal of InSb2TeOs relaxed with PBEsol.

## Properties
SG ... P4/mmm, No. 123
Energy relative to the elements, uncorrected ... 0.52 eV per atom

Geometry as extended XYZ:
```
5
Lattice="4.9775 0.0000 0.0000 0.0000 4.9775 0.0000 0.0000 0.0000 5.7843" Properties=species:S:1:pos:R:3 pbc="T T T"
In 0.0000 0.0000 0.0000
Sb 0.0000 2.4887 2.8921
Sb 2.4887 0.0000 2.8921
Te 2.4887 2.4887 0.0000
Os 2.4887 2.4887 2.8921
```


A plane-wave DFT calculation with meta-GGA SCAN was carried out for a crystal of Ba3HfPt relaxed with PBEsol.

## Properties
SG ... Pm-3m, No. 221
E_form ... 30.6 kJ/mol of atoms

Geometry as extended XYZ:
```
5
Lattice="5.9960 0.0000 0.0000 0.0000 5.9960 0.0000 0.0000 0.0000 5.9960" Properties=species:S:1:pos:R:3 pbc="T T T"
Ba 0.0000 0.0000 2.9980
Ba 0.0000 2.9980 0.0000
Ba 2.9980 0.0000 0.0000
Hf 2.9980 2.9980 2.9980
Pt 0.0000 0.0000 0.0000
```


no.,density of states at the Fermi level (states/eV per cell)
1,3.5
2,2.7
3,3.9
4,9.0